No. 1
Entry from Alexandria via LeMat-Bulk: a relaxed MgAgSbTe2 crystal (PBE).

Computed properties:
The calculation puts the energy above the lowest structure with this stoichiometry at 0 meV/atom. The value obtained for the total energy is -2.522 eV per atom. Its density of states at the Fermi level is 4.2 states/eV/f.u. As for the formation energy without anion corrections: 43.2 kJ per mole of atoms. Its total moment is 0.00 μB/cell.

Lattice parameters (Å, degrees): 5.544 5.544 5.237 90.00 90.00 90.00
Sites, in units of the cell vectors:
1 Mg 0.000 0.000 0.000
2 Ag 0.500 0.500 0.500
3 Sb 0.500 0.500 0.000
4 Te 0.000 0.500 0.500
5 Te 0.500 0.000 0.500

No. 2
Entry from Alexandria via LeMat-Bulk: a relaxed LuPaFeRh crystal (PBE).

Computed properties:
The value obtained for the total energy is -7.808 eV per atom. Its density of states at the Fermi level is 4.5 states/eV/f.u. Its total moment is 3.24 μB/cell. Its energy of formation is -0.35 eV per atom.

Lattice parameters (Å, degrees): 6.740 6.740 6.740 90.00 90.00 90.00
Sites, in units of the cell vectors:
1 Lu 0.000 0.000 0.000
2 Lu 0.000 0.500 0.500
3 Lu 0.500 0.000 0.500
4 Lu 0.500 0.500 0.000
5 Pa 0.000 0.000 0.500
6 Pa 0.000 0.500 0.000
7 Pa 0.500 0.000 0.000
8 Pa 0.500 0.500 0.500
9 Fe 0.250 0.250 0.250
10 Fe 0.250 0.750 0.750
11 Fe 0.750 0.250 0.750
12 Fe 0.750 0.750 0.250
13 Rh 0.250 0.250 0.750
14 Rh 0.250 0.750 0.250
15 Rh 0.750 0.250 0.250
16 Rh 0.750 0.750 0.750

No. 3
Entry from Alexandria via LeMat-Bulk: a relaxed Sm4HgPbC crystal (PBE).

Computed properties:
The value obtained for the total energy is -4.956 eV per atom. Its density of states at the Fermi level is 2.3 states/eV/f.u. Its total moment is 0.00 μB/cell. Its energy of formation is -0.37 eV per atom.

Lattice parameters (Å, degrees): 8.506 8.506 7.161 90.00 90.00 130.15
Sites, in units of the cell vectors:
1 Sm 0.000 0.500 0.000
2 Sm 0.000 0.500 0.500
3 Sm 0.082 0.918 0.750
4 Sm 0.411 0.589 0.750
5 Sm 0.500 0.000 0.000
6 Sm 0.500 0.000 0.500
7 Sm 0.589 0.411 0.250
8 Sm 0.918 0.082 0.250
9 Hg 0.118 0.882 0.250
10 Hg 0.882 0.118 0.750
11 Pb 0.383 0.617 0.250
12 Pb 0.617 0.383 0.750
13 C 0.249 0.751 0.750
14 C 0.751 0.249 0.250